Entry 1:
Below is a geometry-optimized Ca2InHg2 structure, with properties calculated at the PBE level.

The energy of formation is -0.463 eV per atom.

The space group is P4/mnc (No. 128) and the conventional cell measures 8.164, 8.164 and 8.306 Å, with angles of 90.00, 90.00 and 90.00 degrees. Symmetry generates all atoms from Ca at (0.166, 0.328, 0.000), In at (0.000, 0.000, 0.285) and Hg at (0.132, 0.632, 0.250).

***

Entry 2:
Below is a geometry-optimized Ti3AgI structure, with properties calculated at the PBE level.

The calculation puts the calculated total energy at -4.65 eV/atom.

The space group is Pm-3m (No. 221) and the conventional cell measures 5.014, 5.014 and 5.014 Å, with angles of 90.00, 90.00 and 90.00 degrees. Symmetry generates all atoms from Ti at (0.000, 0.000, 0.500), Ag at (0.000, 0.000, 0.000) and I at (0.500, 0.500, 0.500).

***

Entry 3:
Below is a geometry-optimized KCeGa2Br6 structure, with properties calculated at the PBE level.

The calculation puts the calculated total energy at -3.60 eV/atom.

The space group is P2_1/c (No. 14) and the conventional cell measures 7.640, 8.724 and 13.419 Å, with angles of 90.00, 122.86 and 90.00 degrees. Symmetry generates all atoms from K at (0.000, 0.000, 0.000), Ce at (0.500, 0.000, 0.500), Ga at (0.192, 0.077, 0.700), Br at (0.136, 0.163, 0.465), Br at (0.222, 0.736, 0.394) and Br at (0.418, 0.092, 0.269).

***

Entry 4:
Below is a geometry-optimized HfThAgMo structure, with properties calculated at the PBE level.

The energy of formation is 0.093 eV per atom.

The space group is F-43m (No. 216) and the conventional cell measures 7.032, 7.032 and 7.032 Å, with angles of 90.00, 90.00 and 90.00 degrees. Symmetry generates all atoms from Hf at (0.000, 0.000, 0.000), Th at (0.000, 0.000, 0.500), Ag at (0.250, 0.250, 0.250) and Mo at (0.250, 0.250, 0.750).

***

Entry 5:
Below is a geometry-optimized Al3C structure, with properties calculated at the PBE level.

The energy of formation is 1.046 eV per atom.

The space group is R-3m (No. 166, hexagonal axes) and the conventional cell measures 7.9819, 7.9819 and 3.0704 Å, with angles of 90.00, 90.00 and 120.00 degrees. Symmetry generates all atoms from Al at (0.0000, 0.5000, 0.0000) and C at (0.0000, 0.0000, 0.0000).

***

Entry 6:
Below is a geometry-optimized Er3TmIr4 structure, with properties calculated at the PBE level.

The energy of formation is -0.895 eV per atom.

The space group is Pmmm (No. 47) and the conventional cell measures 3.553, 4.682 and 9.364 Å, with angles of 90.00, 90.00 and 90.00 degrees. Symmetry generates all atoms from Er at (0.000, 0.000, 0.000), Er at (0.000, 0.500, 0.250), Tm at (0.000, 0.000, 0.500), Ir at (0.500, 0.000, 0.251), Ir at (0.500, 0.500, 0.000) and Ir at (0.500, 0.500, 0.500).

***

Entry 7:
Below is a geometry-optimized LiFeCu2 structure, with properties calculated at the PBE level.

The energy of formation is 0.158 eV per atom.

The space group is Imm2 (No. 44) and the conventional cell measures 2.548, 4.368 and 8.984 Å, with angles of 90.00, 90.00 and 90.00 degrees. Symmetry generates all atoms from Li at (0.000, 0.000, 0.000), Fe at (0.000, 0.500, 0.227), Cu at (0.000, 0.000, 0.489) and Cu at (0.000, 0.500, 0.754).

***

Entry 8:
Below is a geometry-optimized Tl5InPb structure, with properties calculated at the PBE level.

The energy of formation is 0.054 eV per atom.

The space group is P4/mmm (No. 123) and the conventional cell measures 5.544, 5.544 and 7.444 Å, with angles of 90.00, 90.00 and 90.00 degrees. Symmetry generates all atoms from Tl at (0.000, 0.000, 0.000), Tl at (0.000, 0.500, 0.255), In at (0.500, 0.500, 0.000) and Pb at (0.500, 0.500, 0.500).

***

Entry 9:
Below is a geometry-optimized LaEr2Se structure, with properties calculated at the PBE level.

The calculation puts the calculated total energy at -4.97 eV/atom.

The space group is R-3m (No. 166, hexagonal axes) and the conventional cell measures 3.6908, 3.6908 and 31.5296 Å, with angles of 90.00, 90.00 and 120.00 degrees. Symmetry generates all atoms from La at (0.0000, 0.0000, 0.0000), Er at (0.0000, 0.0000, 0.1096) and Se at (0.0000, 0.0000, 0.5000).

***

Entry 10:
Below is a geometry-optimized ScBeIn2 structure, with properties calculated at the PBE level.

The energy of formation is 0.052 eV per atom.

The space group is I-4m2 (No. 119) and the conventional cell measures 4.198, 4.198 and 9.138 Å, with angles of 90.00, 90.00 and 90.00 degrees. Symmetry generates all atoms from Sc at (0.000, 0.000, 0.000), Be at (0.000, 0.500, 0.750), In at (0.000, 0.000, 0.500) and In at (0.000, 0.500, 0.250).

***

Entry 11:
Below is a geometry-optimized DyRh structure, with properties calculated at the PBE level.

The energy of formation is -0.866 eV per atom.

The space group is Pm-3m (No. 221) and the conventional cell measures 3.427, 3.427 and 3.427 Å, with angles of 90.00, 90.00 and 90.00 degrees. Symmetry generates all atoms from Dy at (0.000, 0.000, 0.000) and Rh at (0.500, 0.500, 0.500).

***

Entry 12:
Below is a geometry-optimized Rb3PaBi3Se8 structure, with properties calculated at the PBE level.

The calculation puts the calculated total energy at -4.38 eV/atom.

The space group is C2/m (No. 12) and the conventional cell measures 14.913, 8.615 and 9.587 Å, with angles of 90.00, 121.27 and 90.00 degrees. Symmetry generates all atoms from Rb at (0.000, 0.000, 0.000), Rb at (0.250, 0.250, 0.000), Pa at (0.000, 0.000, 0.500), Bi at (0.000, 0.500, 0.500), Bi at (0.250, 0.250, 0.500), Se at (0.016, 0.242, 0.306), Se at (0.226, 0.000, 0.694) and Se at (0.234, 0.500, 0.701).

***

Entry 13:
Below is a geometry-optimized Zn2TcTe structure, with properties calculated at the PBE level.

The calculation puts the calculated total energy at -3.56 eV/atom.

The space group is F-43m (No. 216) and the conventional cell measures 6.521, 6.521 and 6.521 Å, with angles of 90.00, 90.00 and 90.00 degrees. Symmetry generates all atoms from Zn at (0.000, 0.000, 0.000), Zn at (0.250, 0.250, 0.250), Tc at (0.000, 0.000, 0.500) and Te at (0.250, 0.250, 0.750).

***

Entry 14:
Below is a geometry-optimized NbAsSe2F structure, with properties calculated at the PBE level.

The calculation puts the calculated total energy at -4.40 eV/atom.

The space group is P4/mmm (No. 123) and the conventional cell measures 4.843, 4.843 and 4.047 Å, with angles of 90.00, 90.00 and 90.00 degrees. Symmetry generates all atoms from Nb at (0.000, 0.000, 0.000), As at (0.500, 0.500, 0.000), Se at (0.000, 0.500, 0.500) and F at (0.500, 0.500, 0.500).

***

Entry 15:
Below is a geometry-optimized Na2BeBO4 structure, with properties calculated at the PBE level.

The calculation puts the calculated total energy at -5.91 eV/atom.

The space group is I-42m (No. 121) and the conventional cell measures 5.731, 5.731 and 4.592 Å, with angles of 90.00, 90.00 and 90.00 degrees. Symmetry generates all atoms from Na at (0.000, 0.500, 0.000), Be at (0.000, 0.000, 0.000), B at (0.000, 0.000, 0.500) and O at (0.135, 0.135, 0.725).

***

Entry 16:
Below is a geometry-optimized Li5AsAu6 structure, with properties calculated at the PBE level.

The energy of formation is -0.454 eV per atom.

The space group is Immm (No. 71) and the conventional cell measures 4.192, 7.391 and 12.290 Å, with angles of 90.00, 90.00 and 90.00 degrees. Symmetry generates all atoms from Li at (0.000, 0.000, 0.000), Li at (0.000, 0.000, 0.349), Li at (0.000, 0.500, 0.323), As at (0.000, 0.500, 0.000), Au at (0.000, 0.236, 0.170) and Au at (0.000, 0.286, 0.500).

***

Entry 17:
Below is a geometry-optimized AlIrF2 structure, with properties calculated at the PBE level.

The calculation puts the calculated total energy at -4.29 eV/atom.

The space group is Fm-3m (No. 225) and the conventional cell measures 5.912, 5.912 and 5.912 Å, with angles of 90.00, 90.00 and 90.00 degrees. Symmetry generates all atoms from Al at (0.000, 0.000, 0.000), Ir at (0.000, 0.000, 0.500) and F at (0.250, 0.250, 0.250).

***

Entry 18:
Below is a geometry-optimized SmY2Pu structure, with properties calculated at the PBE level.

The energy of formation is 0.154 eV per atom.

The space group is P4/mmm (No. 123) and the conventional cell measures 5.004, 5.004 and 5.038 Å, with angles of 90.00, 90.00 and 90.00 degrees. Symmetry generates all atoms from Sm at (0.000, 0.000, 0.000), Y at (0.000, 0.500, 0.500) and Pu at (0.500, 0.500, 0.000).

***

Entry 19:
Below is a geometry-optimized PaCd2PtO6 structure, with properties calculated at the PBE level.

The calculation puts the calculated total energy at -6.18 eV/atom.

The space group is P4mm (No. 99) and the conventional cell measures 5.849, 5.849 and 4.321 Å, with angles of 90.00, 90.00 and 90.00 degrees. Symmetry generates all atoms from Pa at (0.000, 0.000, 0.000), Cd at (0.000, 0.500, 0.403), Pt at (0.500, 0.500, 0.026), O at (0.000, 0.000, 0.511), O at (0.259, 0.259, 0.044) and O at (0.500, 0.500, 0.526).

***

Entry 20:
Below is a geometry-optimized RbBaBe2Te structure, with properties calculated at the PBE level.

The calculation puts the calculated total energy at -1.46 eV/atom.

The space group is P4/mmm (No. 123) and the conventional cell measures 5.708, 5.708 and 7.445 Å, with angles of 90.00, 90.00 and 90.00 degrees. Symmetry generates all atoms from Rb at (0.000, 0.000, 0.000), Ba at (0.000, 0.000, 0.500), Be at (0.000, 0.500, 0.500) and Te at (0.500, 0.500, 0.000).

***

Entry 21:
Below is a geometry-optimized CrTcAsBr2 structure, with properties calculated at the PBE level.

The calculation puts the calculated total energy at -4.97 eV/atom.

The space group is P4/mmm (No. 123) and the conventional cell measures 5.252, 5.252 and 4.715 Å, with angles of 90.00, 90.00 and 90.00 degrees. Symmetry generates all atoms from Cr at (0.000, 0.000, 0.000), Tc at (0.500, 0.500, 0.500), As at (0.500, 0.500, 0.000) and Br at (0.000, 0.500, 0.500).

***

Entry 22:
Below is a geometry-optimized CrN2 structure, with properties calculated at the PBE level.

The calculation puts the calculated total energy at -8.49 eV/atom.

The space group is P1 (No. 1) and the conventional cell measures 5.192, 5.651 and 7.110 Å, with angles of 69.30, 88.30 and 73.22 degrees. Symmetry generates all atoms from Cr at (0.000, 0.000, 0.000), Cr at (0.000, 0.336, 0.631), Cr at (0.331, 0.581, 0.436), Cr at (0.876, 0.714, 0.812), N at (0.101, 0.972, 0.773), N at (0.131, 0.626, 0.625), N at (0.236, 0.328, 0.427), N at (0.236, 0.850, 0.214), N at (0.609, 0.866, 0.670), N at (0.701, 0.454, 0.511), N at (0.781, 0.825, 0.037) and N at (0.898, 0.356, 0.910).

***

Entry 23:
Below is a geometry-optimized PmNpGa5Ir2 structure, with properties calculated at the PBE level.

The energy of formation is -0.202 eV per atom.

The space group is P4/mmm (No. 123) and the conventional cell measures 4.835, 4.835 and 7.763 Å, with angles of 90.00, 90.00 and 90.00 degrees. Symmetry generates all atoms from Pm at (0.000, 0.000, 0.000), Np at (0.000, 0.000, 0.500), Ga at (0.000, 0.500, 0.269), Ga at (0.500, 0.500, 0.000) and Ir at (0.500, 0.500, 0.317).

***

Entry 24:
Below is a geometry-optimized TaSi2Mo structure, with properties calculated at the PBE level.

The calculation puts the calculated total energy at -8.52 eV/atom.

The space group is Immm (No. 71) and the conventional cell measures 3.387, 4.621 and 7.746 Å, with angles of 90.00, 90.00 and 90.00 degrees. Symmetry generates all atoms from Ta at (0.000, 0.000, 0.000), Si at (0.000, 0.500, 0.246) and Mo at (0.000, 0.000, 0.500).

***

Entry 25:
Below is a geometry-optimized CdTc3 structure, with properties calculated at the PBE level.

The energy of formation is 0.381 eV per atom.

The space group is Pnma (No. 62) and the conventional cell measures 4.883, 9.260 and 5.587 Å, with angles of 90.00, 90.00 and 90.00 degrees. Symmetry generates all atoms from Cd at (0.068, 0.250, 0.134), Tc at (0.073, 0.250, 0.641) and Tc at (0.237, 0.515, 0.363).